No. 1
The following is a DFT calculation (PBE) of an optimized crystal structure of Ni2Au2S.

Calculated values
As for the calculated volume: 15.10 A^3/atom. Its crystal system is tetragonal. As for the uncorrected formation energy: 0.089 eV per atom.

Cell lengths 5.8042, 5.8042, 4.4808 Å; angles 90.00, 90.00, 90.00 degrees
With the nearest neighbours (Å) after each atom.
Space group P4/mbm (No. 127)
Unique sites:
Ni (0.1615, 0.3385, 0.0000) x4  2 S 2.18
Au (0.1649, 0.6649, 0.5000) x4  6 Ni 2.66-2.93, 1 Au 2.71
S (0.0000, 0.0000, 0.0000) x2  4 Ni 2.18

No. 2
The following is a DFT calculation (PBE) of an optimized crystal structure of Ni3AuS.

Calculated values
As for the calculated volume: 20.55 A^3/atom. Its crystal system is cubic. As for the uncorrected formation energy: 1.378 eV per atom.

Cell lengths 4.6838, 4.6838, 4.6838 Å; angles 90.00, 90.00, 90.00 degrees
With the nearest neighbours (Å) after each atom.
Space group Pm-3m (No. 221)
Unique sites:
Ni (0.0000, 0.0000, 0.5000) x3  2 Au 2.34
Au (0.0000, 0.0000, 0.0000) x1  6 Ni 2.34
S (0.5000, 0.5000, 0.5000) x1  12 Ni 3.31